Here is a geometry-optimized TaBeFe2 structure from the Alexandria database. Energies are from PBE-GGA.

a b c (Å): 2.9197 2.9197 20.5166
angles (deg): 90.00 90.00 120.00
Closest atoms and distances in Å follow each position.
Space group R-3m (No. 166, hexagonal axes)
Asymmetric unit:
1 Ta 0.0000 0.0000 0.0000 [3 per cell]  6 Fe 2.60
2 Be 0.0000 0.0000 0.5000 [3 per cell]  6 Fe 2.21
3 Fe 0.0000 0.0000 0.2367 [6 per cell]  3 Be 2.21

Results
- DOS(E_F): 2.467 states/eV/f.u.
- Calculated formation energy: 25.3 kJ/mol of atoms

***

Here is a geometry-optimized Ta4BeFe structure from the Alexandria database. Energies are from PBE-GGA.

a b c (Å): 7.5568 7.5568 7.5568
angles (deg): 90.00 90.00 90.00
Closest atoms and distances in Å follow each position.
Space group F-43m (No. 216)
Asymmetric unit:
1 Ta 0.1248 0.1248 0.1248 [16 per cell]  6 Ta 2.67-2.68
2 Be 0.2500 0.2500 0.7500 [4 per cell]  12 Ta 3.13, 4 Fe 3.27
3 Fe 0.0000 0.0000 0.5000 [4 per cell]  12 Ta 3.13, 4 Be 3.27

Results
- DOS(E_F): 7.630 states/eV/f.u.
- Calculated formation energy: 79.7 kJ/mol of atoms